[1]
This record from Alexandria via LeMat-Bulk describes a geometry-optimized SrYAsIr2 structure. The functional is PBE.

The density of states at the Fermi level is 5.59 states/eV/cell. The formation enthalpy at 0 K comes out at 329.8 meV per atom.

The structure belongs to space group P4/mmm (No. 123); the cell edges are 4.730, 4.730 and 5.326 Å and the angles 90.00°, 90.00° and 90.00°. Symmetry generates all atoms from Sr at (0.000, 0.000, 0.000), Y at (0.500, 0.500, 0.000), As at (0.000, 0.000, 0.500) and Ir at (0.000, 0.500, 0.500).

=====

[2]
This record from Alexandria via LeMat-Bulk describes a geometry-optimized LaCoH6Pd structure. The functional is PBE.

The density of states at the Fermi level is 4.91 states/eV/cell. Its total energy is -4.507 eV/atom.

The structure belongs to space group P-6m2 (No. 187); the cell edges are 4.6756, 4.6756 and 4.2698 Å and the angles 90.00°, 90.00° and 120.00°. Symmetry generates all atoms from La at (0.0000, 0.0000, 0.0000), Co at (0.3333, 0.6667, 0.5000), H at (0.0372, 0.5186, 0.2493) and Pd at (0.6667, 0.3333, 0.5000).

=====

[3]
This record from Alexandria via LeMat-Bulk describes a geometry-optimized La5Ge2Br structure. The functional is PBE.

The density of states at the Fermi level is 41.30 states/eV/cell. The uncorrected formation energy is -0.7231 eV/atom.

The structure belongs to space group I4/mcm (No. 140); the cell edges are 8.216, 8.216 and 14.234 Å and the angles 90.00°, 90.00° and 90.00°. Symmetry generates all atoms from La at (0.000, 0.000, 0.000), La at (0.148, 0.352, 0.139), Ge at (0.152, 0.348, 0.500) and Br at (0.000, 0.000, 0.250).

=====

[4]
This record from Alexandria via LeMat-Bulk describes a geometry-optimized YCoAg2 structure. The functional is PBE.

The density of states at the Fermi level is 10.86 states/eV/cell. The formation enthalpy at 0 K comes out at 227.4 meV per atom.

The structure belongs to space group I-42d (No. 122); the cell edges are 3.897, 3.897 and 20.608 Å and the angles 90.00°, 90.00° and 90.00°. Symmetry generates all atoms from Y at (0.000, 0.000, 0.000), Co at (0.000, 0.000, 0.500) and Ag at (0.233, 0.250, 0.625).

=====

[5]
This record from Alexandria via LeMat-Bulk describes a geometry-optimized Dy6Pb3N2 structure. The functional is PBE.

The density of states at the Fermi level is 2.36 states/eV/cell. The uncorrected formation energy is -0.9263 eV/atom.

The structure belongs to space group I4/mmm (No. 139); the cell edges are 4.719, 4.719 and 25.269 Å and the angles 90.00°, 90.00° and 90.00°. Symmetry generates all atoms from Dy at (0.000, 0.000, 0.191), Dy at (0.000, 0.500, 0.085), Pb at (0.000, 0.000, 0.320), Pb at (0.000, 0.000, 0.500) and N at (0.000, 0.000, 0.102).

=====

[6]
This record from Alexandria via LeMat-Bulk describes a geometry-optimized AlCu2Au structure. The functional is PBE.

The density of states at the Fermi level is 3.62 states/eV/cell. The formation enthalpy at 0 K comes out at 75.7 meV per atom.

The structure belongs to space group I-42d (No. 122); the cell edges are 6.974, 6.974 and 5.103 Å and the angles 90.00°, 90.00° and 90.00°. Symmetry generates all atoms from Al at (0.000, 0.000, 0.000), Cu at (0.237, 0.250, 0.125) and Au at (0.000, 0.000, 0.500).

=====

[7]
This record from Alexandria via LeMat-Bulk describes a geometry-optimized NaLi2Al2 structure. The functional is PBE.

The density of states at the Fermi level is 2.62 states/eV/cell. The calculation puts the distance to the lowest polymorph of the same formula at 0.000 eV per atom. The formation enthalpy at 0 K comes out at -38.1 meV per atom.

The structure belongs to space group P4/mbm (No. 127); the cell edges are 8.173, 8.173 and 2.908 Å and the angles 90.00°, 90.00° and 90.00°. Symmetry generates all atoms from Na at (0.000, 0.000, 0.000), Li at (0.180, 0.320, 0.500) and Al at (0.115, 0.615, 0.000).

=====

[8]
This record from Alexandria via LeMat-Bulk describes a geometry-optimized GdPuV4 structure. The functional is PBE.

The density of states at the Fermi level is 20.75 states/eV/cell. The formation enthalpy at 0 K comes out at 334.2 meV per atom.

The structure belongs to space group Imm2 (No. 44); the cell edges are 4.628, 5.586 and 8.391 Å and the angles 90.00°, 90.00° and 90.00°. Symmetry generates all atoms from Gd at (0.000, 0.000, 0.000), Pu at (0.000, 0.500, 0.779), V at (0.000, 0.223, 0.349) and V at (0.249, 0.000, 0.625).

=====

[9]
This record from Alexandria via LeMat-Bulk describes a geometry-optimized Na3VS4 structure. The functional is PBE.

The density of states at the Fermi level is 0.00 states/eV/cell. The uncorrected formation energy is -1.0012 eV/atom.

The structure belongs to space group I-42m (No. 121); the cell edges are 6.133, 6.133 and 11.655 Å and the angles 90.00°, 90.00° and 90.00°. Symmetry generates all atoms from Na at (0.000, 0.000, 0.000), Na at (0.000, 0.500, 0.250), V at (0.000, 0.000, 0.500) and S at (0.205, 0.205, 0.394).

=====

[10]
This record from Alexandria via LeMat-Bulk describes a geometry-optimized Ba2SrAg structure. The functional is PBE.

The density of states at the Fermi level is 18.71 states/eV/cell. The calculation puts the distance to the lowest polymorph of the same formula at 0.254 eV per atom. The formation enthalpy at 0 K comes out at 107.6 meV per atom.

The structure belongs to space group F-43m (No. 216); the cell edges are 8.696, 8.696 and 8.696 Å and the angles 90.00°, 90.00° and 90.00°. Symmetry generates all atoms from Ba at (0.000, 0.000, 0.000), Ba at (0.250, 0.250, 0.250), Sr at (0.250, 0.250, 0.750) and Ag at (0.000, 0.000, 0.500).

=====

[11]
This record from Alexandria via LeMat-Bulk describes a geometry-optimized CaMn2Br6 structure. The functional is PBE.

The density of states at the Fermi level is 0.00 states/eV/cell. The uncorrected formation energy is -1.1588 eV/atom. The calculation puts the distance to the lowest polymorph of the same formula at 0.003 eV per atom.

The structure belongs to space group R3 (No. 146, hexagonal axes); the cell edges are 6.9743, 6.9743 and 18.8577 Å and the angles 90.00°, 90.00° and 120.00°. Symmetry generates all atoms from Ca at (0.0000, 0.0000, 0.0000), Mn at (0.0000, 0.0000, 0.4959), Mn at (0.0000, 0.0000, 0.6769), Br at (0.0144, 0.3389, 0.4222) and Br at (0.0363, 0.6752, 0.2541).

=====

[12]
This record from Alexandria via LeMat-Bulk describes a geometry-optimized NdSnSe structure. The functional is PBE.

The density of states at the Fermi level is 5.79 states/eV/cell. The uncorrected formation energy is -1.2426 eV/atom.

The structure belongs to space group I4/mmm (No. 139); the cell edges are 4.173, 4.173 and 18.950 Å and the angles 90.00°, 90.00° and 90.00°. Symmetry generates all atoms from Nd at (0.000, 0.000, 0.152), Sn at (0.000, 0.500, 0.000) and Se at (0.000, 0.000, 0.313).